# K3AgW2O9 | Alexandria | PBE+U | relaxed
# Mass density   5.9 g/cm3
# Total DFT energy (no corrections)   -5.95 eV per atom
# M_tot   2.03 Bohr magnetons per cell
# D(E_F)   0.63 states/eV per atom
data_K3AgW2O9
_cell_length_a 5.7758
_cell_length_b 5.7758
_cell_length_c 7.2201
_cell_angle_alpha 90.00
_cell_angle_beta 90.00
_cell_angle_gamma 120.00
_space_group_name_H-M_alt 'P -3 m 1'
_space_group_IT_number 164
_space_group_name_Hall '-P 3 2"'
loop_
_atom_site_label
_atom_site_type_symbol
_atom_site_fract_x
_atom_site_fract_y
_atom_site_fract_z
K1 K 0.0000 0.0000 0.0000
K2 K 0.3333 0.6667 0.6603
Ag1 Ag 0.0000 0.0000 0.5000
W1 W 0.3333 0.6667 0.1676
O1 O 0.0000 0.5000 0.0000
O2 O 0.1754 0.3507 0.3071